Record 1
# Li6Ga2Pd | the Alexandria database | PBE | relaxed
# Spin magnetization: 0.000 Bohr magnetons per cell
# Calculated formation energy: -0.244 eV per atom
# Density: 3.1 g/cm³
data_Li6Ga2Pd
_chemical_formula_sum 'Li12 Ga4 Pd2'
_space_group_name_H-M_alt 'C 1 2/m 1'
_space_group_IT_number 12
_cell_length_a 9.0435
_cell_length_b 12.0801
_cell_length_c 2.7901
_cell_angle_alpha 90.00
_cell_angle_beta 94.39
_cell_angle_gamma 90.00
loop_
_space_group_symop_operation_xyz
'x,y,z'
'-x,-y,-z'
'-x,y,-z'
'x,-y,z'
'x+1/2,y+1/2,z'
'-x+1/2,-y+1/2,-z'
'-x+1/2,y+1/2,-z'
'x+1/2,-y+1/2,z'
loop_
_atom_site_label
_atom_site_type_symbol
_atom_site_fract_x
_atom_site_fract_y
_atom_site_fract_z
Li1 Li 0.0000 0.1173 0.0000
Li2 Li 0.1491 0.3369 0.9149
Ga1 Ga 0.2139 0.0000 0.5563
Pd1 Pd 0.0000 0.5000 0.5000

Record 2
# LiGaPd | the Alexandria database | PBE | relaxed
# Spin magnetization: 0.000 Bohr magnetons per cell
# Calculated formation energy: -0.397 eV per atom
# Density: 5.8 g/cm³
data_LiGaPd
_chemical_formula_sum 'Li4 Ga4 Pd4'
_space_group_name_H-M_alt 'F -4 3 m'
_space_group_IT_number 216
_space_group_name_Hall 'F -4 2 3'
_cell_length_a 5.9418
_cell_length_b 5.9418
_cell_length_c 5.9418
_cell_angle_alpha 90.00
_cell_angle_beta 90.00
_cell_angle_gamma 90.00
loop_
_atom_site_label
_atom_site_type_symbol
_atom_site_fract_x
_atom_site_fract_y
_atom_site_fract_z
Li1 Li 0.0000 0.0000 0.0000
Ga1 Ga 0.0000 0.0000 0.5000
Pd1 Pd 0.2500 0.2500 0.7500

Record 3
# LiGa3Pd2 | the Alexandria database | PBE | relaxed
# Spin magnetization: 0.000 Bohr magnetons per cell
# Calculated formation energy: -0.510 eV per atom
# Density: 7.6 g/cm³
data_LiGa3Pd2
_chemical_formula_sum 'Li4 Ga12 Pd8'
_space_group_name_H-M_alt 'C 1 2/m 1'
_space_group_IT_number 12
_cell_length_a 13.2857
_cell_length_b 4.1523
_cell_length_c 8.2316
_cell_angle_alpha 90.00
_cell_angle_beta 123.99
_cell_angle_gamma 90.00
loop_
_space_group_symop_operation_xyz
'x,y,z'
'-x,-y,-z'
'-x,y,-z'
'x,-y,z'
'x+1/2,y+1/2,z'
'-x+1/2,-y+1/2,-z'
'-x+1/2,y+1/2,-z'
'x+1/2,-y+1/2,z'
loop_
_atom_site_label
_atom_site_type_symbol
_atom_site_fract_x
_atom_site_fract_y
_atom_site_fract_z
Li1 Li 0.1095 0.0000 0.0331
Ga1 Ga 0.0385 0.0000 0.3701
Ga2 Ga 0.1321 0.5000 0.8716
Ga3 Ga 0.2238 0.5000 0.5977
Pd1 Pd 0.0861 0.5000 0.2213
Pd2 Pd 0.1927 0.0000 0.7609

Record 4
# LiGaPd | the Alexandria database | PBE | relaxed
# Spin magnetization: 0.000 Bohr magnetons per cell
# Calculated formation energy: -0.366 eV per atom
# Density: 6.0 g/cm³
data_LiGaPd
_chemical_formula_sum 'Li2 Ga2 Pd2'
_space_group_name_H-M_alt 'I -4 m 2'
_space_group_IT_number 119
_space_group_name_Hall 'I -4 -2'
_cell_length_a 4.2061
_cell_length_b 4.2061
_cell_length_c 5.7714
_cell_angle_alpha 90.00
_cell_angle_beta 90.00
_cell_angle_gamma 90.00
loop_
_atom_site_label
_atom_site_type_symbol
_atom_site_fract_x
_atom_site_fract_y
_atom_site_fract_z
Li1 Li 0.0000 0.0000 0.0000
Ga1 Ga 0.0000 0.5000 0.7500
Pd1 Pd 0.0000 0.0000 0.5000

Record 5
# Li2Ga8Pd3 | the Alexandria database | PBE | relaxed
# Spin magnetization: 0.000 Bohr magnetons per cell
# Calculated formation energy: -0.332 eV per atom
# Density: 6.9 g/cm³
data_Li2Ga8Pd3
_chemical_formula_sum 'Li4 Ga16 Pd6'
_space_group_name_H-M_alt 'C 1 2/m 1'
_space_group_IT_number 12
_cell_length_a 11.3299
_cell_length_b 7.2427
_cell_length_c 5.3088
_cell_angle_alpha 90.00
_cell_angle_beta 98.15
_cell_angle_gamma 90.00
loop_
_space_group_symop_operation_xyz
'x,y,z'
'-x,-y,-z'
'-x,y,-z'
'x,-y,z'
'x+1/2,y+1/2,z'
'-x+1/2,-y+1/2,-z'
'-x+1/2,y+1/2,-z'
'x+1/2,-y+1/2,z'
loop_
_atom_site_label
_atom_site_type_symbol
_atom_site_fract_x
_atom_site_fract_y
_atom_site_fract_z
Li1 Li 0.1984 0.0000 0.3049
Ga1 Ga 0.1053 0.5000 0.8992
Ga2 Ga 0.1203 0.3113 0.4324
Ga3 Ga 0.1817 0.0000 0.8274
Pd1 Pd 0.0000 0.0000 0.5000
Pd2 Pd 0.0000 0.1968 0.0000

Record 6
# Li3GaPd | the Alexandria database | PBE | relaxed
# Spin magnetization: 0.000 Bohr magnetons per cell
# Calculated formation energy: 0.041 eV per atom
# Density: 3.2 g/cm³
data_Li3GaPd
_chemical_formula_sum 'Li3 Ga1 Pd1'
_space_group_name_H-M_alt 'P m -3 m'
_space_group_IT_number 221
_space_group_name_Hall '-P 4 2 3'
_cell_length_a 4.6780
_cell_length_b 4.6780
_cell_length_c 4.6780
_cell_angle_alpha 90.00
_cell_angle_beta 90.00
_cell_angle_gamma 90.00
loop_
_atom_site_label
_atom_site_type_symbol
_atom_site_fract_x
_atom_site_fract_y
_atom_site_fract_z
Li1 Li 0.0000 0.0000 0.5000
Ga1 Ga 0.5000 0.5000 0.5000
Pd1 Pd 0.0000 0.0000 0.0000

Record 7
# Li5GaPd3 | the Alexandria database | PBE | relaxed
# Spin magnetization: 0.000 Bohr magnetons per cell
# Calculated formation energy: -0.314 eV per atom
# Density: 4.2 g/cm³
data_Li5GaPd3
_chemical_formula_sum 'Li20 Ga4 Pd12'
_space_group_name_H-M_alt 'C 1 2/m 1'
_space_group_IT_number 12
_cell_length_a 9.0385
_cell_length_b 9.3625
_cell_length_c 8.4284
_cell_angle_alpha 90.00
_cell_angle_beta 109.47
_cell_angle_gamma 90.00
loop_
_space_group_symop_operation_xyz
'x,y,z'
'-x,-y,-z'
'-x,y,-z'
'x,-y,z'
'x+1/2,y+1/2,z'
'-x+1/2,-y+1/2,-z'
'-x+1/2,y+1/2,-z'
'x+1/2,-y+1/2,z'
loop_
_atom_site_label
_atom_site_type_symbol
_atom_site_fract_x
_atom_site_fract_y
_atom_site_fract_z
Li1 Li 0.0000 0.2370 0.0000
Li2 Li 0.0314 0.2401 0.6760
Li3 Li 0.2421 0.5000 0.9096
Li4 Li 0.2443 0.0000 0.4095
Ga1 Ga 0.2468 0.5000 0.2497
Pd1 Pd 0.0000 0.0000 0.5000
Pd2 Pd 0.0000 0.5000 0.0000
Pd3 Pd 0.0123 0.5000 0.3411
Pd4 Pd 0.0139 0.0000 0.8396

Record 8
# LiGa6Pd2 | the Alexandria database | PBE | relaxed
# Spin magnetization: 0.000 Bohr magnetons per cell
# Calculated formation energy: -0.307 eV per atom
# Density: 7.1 g/cm³
data_LiGa6Pd2
_chemical_formula_sum 'Li2 Ga12 Pd4'
_space_group_name_H-M_alt 'P 1 21/c 1'
_space_group_IT_number 14
_cell_length_a 4.5439
_cell_length_b 7.0590
_cell_length_c 9.8762
_cell_angle_alpha 90.00
_cell_angle_beta 108.89
_cell_angle_gamma 90.00
loop_
_space_group_symop_operation_xyz
'x,y,z'
'-x,-y,-z'
'-x,y+1/2,-z+1/2'
'x,-y+1/2,z+1/2'
loop_
_atom_site_label
_atom_site_type_symbol
_atom_site_fract_x
_atom_site_fract_y
_atom_site_fract_z
Li1 Li 0.0000 0.0000 0.0000
Ga1 Ga 0.1797 0.0428 0.2735
Ga2 Ga 0.1862 0.6383 0.0787
Ga3 Ga 0.4521 0.2431 0.5896
Pd1 Pd 0.3917 0.0948 0.8386

Record 9
# Li15Ga2Pd2 | the Alexandria database | PBE | relaxed
# Spin magnetization: 0.000 Bohr magnetons per cell
# Calculated formation energy: -0.082 eV per atom
# Density: 2.5 g/cm³
data_Li15Ga2Pd2
_chemical_formula_sum 'Li45 Ga6 Pd6'
_space_group_name_H-M_alt 'R -3 m'
_space_group_IT_number 166
_space_group_name_Hall '-R 3 2"'
_cell_length_a 8.1732
_cell_length_b 8.1732
_cell_length_c 15.5667
_cell_angle_alpha 90.00
_cell_angle_beta 90.00
_cell_angle_gamma 120.00
loop_
_atom_site_label
_atom_site_type_symbol
_atom_site_fract_x
_atom_site_fract_y
_atom_site_fract_z
Li1 Li 0.0000 0.2885 0.0000
Li2 Li 0.0000 0.5000 0.5000
Li3 Li 0.0817 0.5409 0.1042
Ga1 Ga 0.0000 0.0000 0.1141
Pd1 Pd 0.0000 0.0000 0.2848

Record 10
# Li2Ga5Pd2 | the Alexandria database | PBE | relaxed
# Spin magnetization: 0.000 Bohr magnetons per cell
# Calculated formation energy: -0.371 eV per atom
# Density: 6.6 g/cm³
data_Li2Ga5Pd2
_chemical_formula_sum 'Li8 Ga20 Pd8'
_space_group_name_H-M_alt 'I m a 2'
_space_group_IT_number 46
_cell_length_a 14.9863
_cell_length_b 5.5089
_cell_length_c 7.0513
_cell_angle_alpha 90.00
_cell_angle_beta 90.00
_cell_angle_gamma 90.00
loop_
_space_group_symop_operation_xyz
'x,y,z'
'-x,-y,z'
'-x+1/2,y,z'
'x+1/2,-y,z'
'x+1/2,y+1/2,z+1/2'
'-x+1/2,-y+1/2,z+1/2'
'-x,y+1/2,z+1/2'
'x,-y+1/2,z+1/2'
loop_
_atom_site_label
_atom_site_type_symbol
_atom_site_fract_x
_atom_site_fract_y
_atom_site_fract_z
Li1 Li 0.0732 0.1225 0.0000
Ga1 Ga 0.0821 0.6416 0.1539
Ga2 Ga 0.1656 0.0775 0.3053
Ga3 Ga 0.2500 0.5940 0.4826
Pd1 Pd 0.0000 0.0000 0.3358
Pd2 Pd 0.2500 0.0296 0.6345

Record 11
# LiGa3Pd3 | the Alexandria database | PBE | relaxed
# Spin magnetization: 0.000 Bohr magnetons per cell
# Calculated formation energy: -0.501 eV per atom
# Density: 7.5 g/cm³
data_LiGa3Pd3
_chemical_formula_sum 'Li6 Ga18 Pd18'
_space_group_name_H-M_alt 'R -3'
_space_group_IT_number 148
_space_group_name_Hall '-R 3'
_cell_length_a 7.3027
_cell_length_b 7.3027
_cell_length_c 15.3858
_cell_angle_alpha 90.00
_cell_angle_beta 90.00
_cell_angle_gamma 120.00
loop_
_atom_site_label
_atom_site_type_symbol
_atom_site_fract_x
_atom_site_fract_y
_atom_site_fract_z
Li1 Li 0.0000 0.0000 0.1649
Ga1 Ga 0.0014 0.3546 0.6125
Pd1 Pd 0.0029 0.3138 0.4434

Record 12
# Li5GaPd8 | the Alexandria database | PBE | relaxed
# Spin magnetization: 0.000 Bohr magnetons per cell
# Calculated formation energy: -0.341 eV per atom
# Density: 7.9 g/cm³
data_Li5GaPd8
_chemical_formula_sum 'Li10 Ga2 Pd16'
_space_group_name_H-M_alt 'I -4'
_space_group_IT_number 82
_cell_length_a 7.3277
_cell_length_b 7.3277
_cell_length_c 7.5297
_cell_angle_alpha 90.00
_cell_angle_beta 90.00
_cell_angle_gamma 90.00
loop_
_space_group_symop_operation_xyz
'x,y,z'
'y,-x,-z'
'-x,-y,z'
'-y,x,-z'
'x+1/2,y+1/2,z+1/2'
'y+1/2,-x+1/2,-z+1/2'
'-x+1/2,-y+1/2,z+1/2'
'-y+1/2,x+1/2,-z+1/2'
loop_
_atom_site_label
_atom_site_type_symbol
_atom_site_fract_x
_atom_site_fract_y
_atom_site_fract_z
Li1 Li 0.0000 0.0000 0.0000
Li2 Li 0.1250 0.2240 0.5862
Ga1 Ga 0.0000 0.5000 0.2500
Pd1 Pd 0.0721 0.3291 0.9096
Pd2 Pd 0.0800 0.1767 0.2588